No. 1
Compound: Y2TaTe
Source: the Alexandria database
Functional: PBEsol
Structure: relaxed

CIF file:
```
data_Y2TaTe
_chemical_formula_sum 'Y4 Ta2 Te2'
_symmetry_space_group_name_H-M 'P 1'
_symmetry_Int_Tables_number 1
_cell_length_a 4.486
_cell_length_b 4.486
_cell_length_c 9.289
_cell_angle_alpha 90.00
_cell_angle_beta 90.00
_cell_angle_gamma 90.00
loop_
_symmetry_equiv_pos_as_xyz
'x,y,z'
loop_
_atom_site_label
_atom_site_fract_x
_atom_site_fract_y
_atom_site_fract_z
_atom_site_occupancy
Y1 0.000 0.500 0.250 1
Y2 0.000 0.500 0.750 1
Y3 0.500 0.000 0.250 1
Y4 0.500 0.000 0.750 1
Ta1 0.000 0.000 0.000 1
Ta2 0.500 0.500 0.500 1
Te1 0.000 0.000 0.500 1
Te2 0.500 0.500 0.000 1
```

Values from the calculation:
- E (eV for the cell shown) = -59.47
- magnetization (μB/atom) = 0.00
- space-group type = No. 139
- crystal system = tetragonal



No. 2
Compound: Hf2MnIN
Source: the Alexandria database
Functional: PBEsol
Structure: relaxed

CIF file:
```
data_Hf2MnIN
_chemical_formula_sum 'Hf2 Mn1 I1 N1'
_symmetry_space_group_name_H-M 'P 1'
_symmetry_Int_Tables_number 1
_cell_length_a 4.204
_cell_length_b 4.204
_cell_length_c 5.439
_cell_angle_alpha 90.00
_cell_angle_beta 90.00
_cell_angle_gamma 90.00
loop_
_symmetry_equiv_pos_as_xyz
'x,y,z'
loop_
_atom_site_label
_atom_site_fract_x
_atom_site_fract_y
_atom_site_fract_z
_atom_site_occupancy
Hf1 0.000 0.500 0.000 1
Hf2 0.500 0.000 0.000 1
Mn1 0.000 0.000 0.500 1
I1 0.500 0.500 0.500 1
N1 0.500 0.500 0.000 1
```

Values from the calculation:
- E (eV for the cell shown) = -40.61
- magnetization (μB/atom) = 0.58
- space-group type = No. 123
- crystal system = tetragonal



No. 3
Compound: CrCo2Ir
Source: the Alexandria database
Functional: PBEsol
Structure: relaxed

CIF file:
```
data_CrCo2Ir
_chemical_formula_sum 'Cr2 Co4 Ir2'
_symmetry_space_group_name_H-M 'P 1'
_symmetry_Int_Tables_number 1
_cell_length_a 3.581
_cell_length_b 3.581
_cell_length_c 7.105
_cell_angle_alpha 90.00
_cell_angle_beta 90.00
_cell_angle_gamma 90.00
loop_
_symmetry_equiv_pos_as_xyz
'x,y,z'
loop_
_atom_site_label
_atom_site_fract_x
_atom_site_fract_y
_atom_site_fract_z
_atom_site_occupancy
Cr1 0.000 0.000 0.000 1
Cr2 0.500 0.500 0.500 1
Co1 0.000 0.000 0.500 1
Co2 0.000 0.500 0.750 1
Co3 0.500 0.000 0.250 1
Co4 0.500 0.500 0.000 1
Ir1 0.000 0.500 0.250 1
Ir2 0.500 0.000 0.750 1
```

Values from the calculation:
- formation energy from the elements (eV per atom) = -0.067
- magnetization (μB/atom) = 0.29
- space-group type = No. 119
- excess energy over the best structure of this formula in the dataset (kJ per mole of atoms) = 1.28
- crystal system = tetragonal



No. 4
Compound: YMnIr2
Source: the Alexandria database
Functional: PBEsol
Structure: relaxed

CIF file:
```
data_YMnIr2
_chemical_formula_sum 'Y4 Mn4 Ir8'
_symmetry_space_group_name_H-M 'P 1'
_symmetry_Int_Tables_number 1
_cell_length_a 6.409
_cell_length_b 6.409
_cell_length_c 6.409
_cell_angle_alpha 90.00
_cell_angle_beta 90.00
_cell_angle_gamma 90.00
loop_
_symmetry_equiv_pos_as_xyz
'x,y,z'
loop_
_atom_site_label
_atom_site_fract_x
_atom_site_fract_y
_atom_site_fract_z
_atom_site_occupancy
Y1 0.000 0.000 0.000 1
Y2 0.000 0.500 0.500 1
Y3 0.500 0.000 0.500 1
Y4 0.500 0.500 0.000 1
Mn1 0.000 0.000 0.500 1
Mn2 0.000 0.500 0.000 1
Mn3 0.500 0.000 0.000 1
Mn4 0.500 0.500 0.500 1
Ir1 0.250 0.250 0.250 1
Ir2 0.250 0.250 0.750 1
Ir3 0.250 0.750 0.250 1
Ir4 0.250 0.750 0.750 1
Ir5 0.750 0.250 0.250 1
Ir6 0.750 0.250 0.750 1
Ir7 0.750 0.750 0.250 1
Ir8 0.750 0.750 0.750 1
```

Values from the calculation:
- formation energy from the elements (eV per atom) = -0.203
- magnetization (μB/atom) = 1.10
- space-group type = No. 225
- crystal system = cubic



No. 5
Compound: HfP3W
Source: the Alexandria database
Functional: PBEsol
Structure: relaxed

CIF file:
```
data_HfP3W
_chemical_formula_sum 'Hf1 P3 W1'
_symmetry_space_group_name_H-M 'P 1'
_symmetry_Int_Tables_number 1
_cell_length_a 4.803
_cell_length_b 4.803
_cell_length_c 4.803
_cell_angle_alpha 90.00
_cell_angle_beta 90.00
_cell_angle_gamma 90.00
loop_
_symmetry_equiv_pos_as_xyz
'x,y,z'
loop_
_atom_site_label
_atom_site_fract_x
_atom_site_fract_y
_atom_site_fract_z
_atom_site_occupancy
Hf1 0.000 0.000 0.000 1
P1 0.000 0.000 0.500 1
P2 0.000 0.500 0.000 1
P3 0.500 0.000 0.000 1
W1 0.500 0.500 0.500 1
```

Values from the calculation:
- formation energy from the elements (eV per atom) = 1.350
- magnetization (μB/atom) = 0.59
- space-group type = No. 221
- crystal system = cubic



No. 6
Compound: LaScCd4
Source: the Alexandria database
Functional: PBEsol
Structure: relaxed

CIF file:
```
data_LaScCd4
_chemical_formula_sum 'La1 Sc1 Cd4'
_symmetry_space_group_name_H-M 'P 1'
_symmetry_Int_Tables_number 1
_cell_length_a 5.805
_cell_length_b 5.805
_cell_length_c 5.805
_cell_angle_alpha 60.00
_cell_angle_beta 60.00
_cell_angle_gamma 60.00
loop_
_symmetry_equiv_pos_as_xyz
'x,y,z'
loop_
_atom_site_label
_atom_site_fract_x
_atom_site_fract_y
_atom_site_fract_z
_atom_site_occupancy
La1 0.000 0.000 0.000 1
Sc1 0.250 0.250 0.250 1
Cd1 0.126 0.625 0.625 1
Cd2 0.625 0.126 0.625 1
Cd3 0.625 0.625 0.126 1
Cd4 0.625 0.625 0.625 1
```

Values from the calculation:
- formation energy from the elements (eV per atom) = -0.264
- magnetization (μB/atom) = 0.00
- space-group type = No. 216
- crystal system = cubic



No. 7
Compound: CdTcOs2
Source: the Alexandria database
Functional: PBEsol
Structure: relaxed

CIF file:
```
data_CdTcOs2
_chemical_formula_sum 'Cd1 Tc1 Os2'
_symmetry_space_group_name_H-M 'P 1'
_symmetry_Int_Tables_number 1
_cell_length_a 2.745
_cell_length_b 2.745
_cell_length_c 8.030
_cell_angle_alpha 90.00
_cell_angle_beta 90.00
_cell_angle_gamma 90.00
loop_
_symmetry_equiv_pos_as_xyz
'x,y,z'
loop_
_atom_site_label
_atom_site_fract_x
_atom_site_fract_y
_atom_site_fract_z
_atom_site_occupancy
Cd1 0.000 0.000 0.000 1
Tc1 0.500 0.500 0.726 1
Os1 0.000 0.000 0.495 1
Os2 0.500 0.500 0.271 1
```

Values from the calculation:
- formation energy from the elements (eV per atom) = 0.337
- magnetization (μB/atom) = 0.00
- space-group type = No. 99
- crystal system = tetragonal



No. 8
Compound: RbTaV2O8
Source: the Alexandria database
Functional: PBEsol
Structure: relaxed

CIF file:
```
data_RbTaV2O8
_chemical_formula_sum 'Rb4 Ta4 V8 O32'
_symmetry_space_group_name_H-M 'P 1'
_symmetry_Int_Tables_number 1
_cell_length_a 15.020
_cell_length_b 5.599
_cell_length_c 9.112
_cell_angle_alpha 90.00
_cell_angle_beta 90.00
_cell_angle_gamma 90.00
loop_
_symmetry_equiv_pos_as_xyz
'x,y,z'
loop_
_atom_site_label
_atom_site_fract_x
_atom_site_fract_y
_atom_site_fract_z
_atom_site_occupancy
Rb1 0.106 0.250 0.062 1
Rb2 0.394 0.750 0.562 1
Rb3 0.606 0.250 0.438 1
Rb4 0.894 0.750 0.938 1
Ta1 0.160 0.250 0.501 1
Ta2 0.340 0.750 0.001 1
Ta3 0.660 0.250 0.999 1
Ta4 0.840 0.750 0.499 1
V1 0.060 0.750 0.316 1
V2 0.165 0.750 0.745 1
V3 0.335 0.250 0.245 1
V4 0.440 0.250 0.816 1
V5 0.560 0.750 0.184 1
V6 0.665 0.750 0.755 1
V7 0.835 0.250 0.255 1
V8 0.940 0.250 0.684 1
O1 0.040 0.250 0.588 1
O2 0.041 0.750 0.139 1
O3 0.059 0.750 0.775 1
O4 0.122 0.004 0.360 1
O5 0.122 0.496 0.360 1
O6 0.195 0.002 0.644 1
O7 0.195 0.498 0.644 1
O8 0.220 0.750 0.915 1
O9 0.280 0.250 0.415 1
O10 0.305 0.502 0.144 1
O11 0.305 0.998 0.144 1
O12 0.378 0.504 0.860 1
O13 0.378 0.996 0.860 1
O14 0.441 0.250 0.275 1
O15 0.459 0.250 0.639 1
O16 0.460 0.750 0.088 1
O17 0.540 0.250 0.912 1
O18 0.541 0.750 0.361 1
O19 0.559 0.750 0.725 1
O20 0.622 0.004 0.140 1
O21 0.622 0.496 0.140 1
O22 0.695 0.002 0.856 1
O23 0.695 0.498 0.856 1
O24 0.720 0.750 0.585 1
O25 0.780 0.250 0.085 1
O26 0.805 0.502 0.356 1
O27 0.805 0.998 0.356 1
O28 0.878 0.504 0.640 1
O29 0.878 0.996 0.640 1
O30 0.941 0.250 0.225 1
O31 0.959 0.250 0.861 1
O32 0.960 0.750 0.412 1
```

Values from the calculation:
- E (eV for the cell shown) = -419.82
- magnetization (μB/atom) = 0.00
- space-group type = No. 62
- crystal system = orthorhombic



No. 9
Compound: Ba3Er2MoO9
Source: the Alexandria database
Functional: PBEsol
Structure: relaxed

CIF file:
```
data_Ba3Er2MoO9
_chemical_formula_sum 'Ba6 Er4 Mo2 O18'
_symmetry_space_group_name_H-M 'P 1'
_symmetry_Int_Tables_number 1
_cell_length_a 5.970
_cell_length_b 5.970
_cell_length_c 14.601
_cell_angle_alpha 90.46
_cell_angle_beta 90.46
_cell_angle_gamma 59.58
loop_
_symmetry_equiv_pos_as_xyz
'x,y,z'
loop_
_atom_site_label
_atom_site_fract_x
_atom_site_fract_y
_atom_site_fract_z
_atom_site_occupancy
Ba1 0.000 0.000 0.250 1
Ba2 0.000 0.000 0.750 1
Ba3 0.334 0.335 0.588 1
Ba4 0.335 0.334 0.088 1
Ba5 0.665 0.666 0.912 1
Ba6 0.666 0.665 0.412 1
Er1 0.331 0.334 0.333 1
Er2 0.334 0.331 0.833 1
Er3 0.666 0.669 0.167 1
Er4 0.669 0.666 0.667 1
Mo1 0.000 0.000 0.000 1
Mo2 0.000 0.000 0.500 1
O1 0.029 0.438 0.736 1
O2 0.112 0.712 0.916 1
O3 0.151 0.152 0.924 1
O4 0.152 0.151 0.424 1
O5 0.191 0.674 0.436 1
O6 0.288 0.888 0.584 1
O7 0.326 0.809 0.064 1
O8 0.438 0.029 0.236 1
O9 0.491 0.509 0.750 1
O10 0.509 0.491 0.250 1
O11 0.562 0.971 0.764 1
O12 0.674 0.191 0.936 1
O13 0.712 0.112 0.416 1
O14 0.809 0.326 0.564 1
O15 0.848 0.849 0.576 1
O16 0.849 0.848 0.076 1
O17 0.888 0.288 0.084 1
O18 0.971 0.562 0.264 1
```

Values from the calculation:
- E (eV for the cell shown) = -240.35
- magnetization (μB/atom) = 0.00
- space-group type = No. 15
- crystal system = monoclinic



No. 10
Compound: KLa2Au
Source: the Alexandria database
Functional: PBEsol
Structure: relaxed

CIF file:
```
data_KLa2Au
_chemical_formula_sum 'K1 La2 Au1'
_symmetry_space_group_name_H-M 'P 1'
_symmetry_Int_Tables_number 1
_cell_length_a 5.199
_cell_length_b 5.199
_cell_length_c 4.343
_cell_angle_alpha 90.00
_cell_angle_beta 90.00
_cell_angle_gamma 90.00
loop_
_symmetry_equiv_pos_as_xyz
'x,y,z'
loop_
_atom_site_label
_atom_site_fract_x
_atom_site_fract_y
_atom_site_fract_z
_atom_site_occupancy
K1 0.000 0.000 0.000 1
La1 0.000 0.500 0.500 1
La2 0.500 0.000 0.500 1
Au1 0.500 0.500 0.000 1
```

Values from the calculation:
- formation energy from the elements (eV per atom) = 0.128
- magnetization (μB/atom) = 0.00
- space-group type = No. 123
- excess energy over the best structure of this formula in the dataset (kJ per mole of atoms) = 20.93
- crystal system = tetragonal



No. 11
Compound: Na3SiNiCO7
Source: the Alexandria database
Functional: PBEsol
Structure: relaxed

CIF file:
```
data_Na3SiNiCO7
_chemical_formula_sum 'Na6 Si2 Ni2 C2 O14'
_symmetry_space_group_name_H-M 'P 1'
_symmetry_Int_Tables_number 1
_cell_length_a 5.107
_cell_length_b 6.281
_cell_length_c 9.084
_cell_angle_alpha 90.00
_cell_angle_beta 90.62
_cell_angle_gamma 90.00
loop_
_symmetry_equiv_pos_as_xyz
'x,y,z'
loop_
_atom_site_label
_atom_site_fract_x
_atom_site_fract_y
_atom_site_fract_z
_atom_site_occupancy
Na1 0.225 0.250 0.097 1
Na2 0.253 0.507 0.734 1
Na3 0.253 0.993 0.734 1
Na4 0.747 0.007 0.266 1
Na5 0.747 0.493 0.266 1
Na6 0.775 0.750 0.903 1
Si1 0.305 0.250 0.432 1
Si2 0.695 0.750 0.568 1
Ni1 0.223 0.750 0.347 1
Ni2 0.777 0.250 0.653 1
C1 0.287 0.750 0.060 1
C2 0.713 0.250 0.940 1
O1 0.087 0.750 0.149 1
O2 0.143 0.250 0.583 1
O3 0.237 0.750 0.920 1
O4 0.246 0.048 0.319 1
O5 0.246 0.452 0.319 1
O6 0.376 0.750 0.533 1
O7 0.480 0.250 0.888 1
O8 0.520 0.750 0.112 1
O9 0.624 0.250 0.467 1
O10 0.754 0.548 0.681 1
O11 0.754 0.952 0.681 1
O12 0.763 0.250 0.080 1
O13 0.857 0.750 0.417 1
O14 0.913 0.250 0.851 1
```

Values from the calculation:
- E (eV for the cell shown) = -171.14
- magnetization (μB/atom) = 0.08
- space-group type = No. 11
- crystal system = monoclinic



No. 12
Compound: CuHN2F
Source: the Alexandria database
Functional: PBEsol
Structure: relaxed

CIF file:
```
data_CuHN2F
_chemical_formula_sum 'Cu1 H1 N2 F1'
_symmetry_space_group_name_H-M 'P 1'
_symmetry_Int_Tables_number 1
_cell_length_a 2.848
_cell_length_b 2.848
_cell_length_c 4.958
_cell_angle_alpha 90.00
_cell_angle_beta 90.00
_cell_angle_gamma 90.00
loop_
_symmetry_equiv_pos_as_xyz
'x,y,z'
loop_
_atom_site_label
_atom_site_fract_x
_atom_site_fract_y
_atom_site_fract_z
_atom_site_occupancy
Cu1 0.000 0.000 0.000 1
H1 0.500 0.500 0.500 1
N1 0.000 0.500 0.500 1
N2 0.500 0.000 0.500 1
F1 0.500 0.500 0.000 1
```

Values from the calculation:
- E (eV for the cell shown) = -20.89
- magnetization (μB/atom) = 0.00
- space-group type = No. 123
- crystal system = tetragonal